Density functional theory data (PBE) for a geometry-optimized AcYAs2Rh2 structure.

Structure (CIF):
```
data_AcYAs2Rh2
_chemical_formula_sum 'Ac1 Y1 As2 Rh2'
_cell_length_a 4.2843
_cell_length_b 4.2843
_cell_length_c 8.2482
_cell_angle_alpha 90.00
_cell_angle_beta 90.00
_cell_angle_gamma 120.00
_space_group_name_H-M_alt 'P -3 m 1'
_space_group_IT_number 164
_space_group_name_Hall '-P 3 2"'
loop_
_atom_site_label
_atom_site_fract_x
_atom_site_fract_y
_atom_site_fract_z
Ac1 0.0000 0.0000 0.0000
Y1 0.0000 0.0000 0.5000
As1 0.3333 0.6667 0.2745
Rh1 0.3333 0.6667 0.7343
```

Summary:
* DOS at the Fermi energy: 5.78 states/eV per cell
* total energy: -6.84 eV/atom
* DFT formation energy: -1075 meV per atom
* V: 21.85 A^3/atom


Density functional theory data (PBE) for a geometry-optimized NbPtNO2 structure.

Structure (CIF):
```
data_NbPtNO2
_chemical_formula_sum 'Nb1 Pt1 N1 O2'
_cell_length_a 3.8968
_cell_length_b 3.8968
_cell_length_c 4.3230
_cell_angle_alpha 90.00
_cell_angle_beta 90.00
_cell_angle_gamma 90.00
_space_group_name_H-M_alt 'P 4/m m m'
_space_group_IT_number 123
_space_group_name_Hall '-P 4 2'
loop_
_atom_site_label
_atom_site_fract_x
_atom_site_fract_y
_atom_site_fract_z
Nb1 0.0000 0.0000 0.0000
Pt1 0.5000 0.5000 0.5000
N1 0.0000 0.0000 0.5000
O1 0.0000 0.5000 0.0000
```

Summary:
* DOS at the Fermi energy: 3.75 states/eV per cell
* total energy: -7.22 eV/atom
* formation energy (no corrections): -0.348 eV per atom
* V: 13.13 A^3/atom


Density functional theory data (PBE) for a geometry-optimized US2O8 structure.

Structure (CIF):
```
data_US2O8
_chemical_formula_sum 'U1 S2 O8'
_cell_length_a 5.8373
_cell_length_b 5.8882
_cell_length_c 7.1543
_cell_angle_alpha 100.97
_cell_angle_beta 90.24
_cell_angle_gamma 119.66
_space_group_name_H-M_alt 'P -1'
_space_group_IT_number 2
loop_
_space_group_symop_operation_xyz
'x,y,z'
'-x,-y,-z'
loop_
_atom_site_label
_atom_site_fract_x
_atom_site_fract_y
_atom_site_fract_z
U1 0.0000 0.0000 0.0000
S1 0.3616 0.7271 0.6836
O1 0.1616 0.3269 0.9467
O2 0.2289 0.8788 0.7741
O3 0.3338 0.6725 0.4751
O4 0.3539 0.1241 0.2252
```

Summary:
* total energy: -7.05 eV/atom
* formation energy (no corrections): -1.669 eV per atom
* V: 18.94 A^3/atom


> Which of these has the highest total energy?

AcYAs2Rh2


> Which value of V does entry 1 give?

21.85 A^3/atom